Below is a geometry-optimized YTm2U2Ru5 structure, with properties calculated at the PBE-GGA level.

Cell and atoms, written as CIF:
```
data_YTm2U2Ru5
_symmetry_space_group_name_H-M 'P 1'
_symmetry_Int_Tables_number 1
_cell_length_a 10.533
_cell_length_b 10.533
_cell_length_c 3.616
_cell_angle_alpha 90.00
_cell_angle_beta 90.00
_cell_angle_gamma 90.00
loop_
_symmetry_equiv_pos_as_xyz
'x,y,z'
loop_
_atom_site_label
_atom_site_fract_x
_atom_site_fract_y
_atom_site_fract_z
Y1 0.000 0.000 0.000
Y2 0.500 0.500 0.000
Tm1 0.174 0.326 0.000
Tm2 0.326 0.826 0.000
Tm3 0.674 0.174 0.000
Tm4 0.826 0.674 0.000
U1 0.134 0.634 0.000
U2 0.366 0.134 0.000
U3 0.634 0.866 0.000
U4 0.866 0.366 0.000
Ru1 0.000 0.500 0.500
Ru2 0.055 0.786 0.500
Ru3 0.214 0.055 0.500
Ru4 0.286 0.555 0.500
Ru5 0.445 0.286 0.500
Ru6 0.500 0.000 0.500
Ru7 0.555 0.714 0.500
Ru8 0.714 0.445 0.500
Ru9 0.786 0.945 0.500
Ru10 0.945 0.214 0.500
```

Output
The value obtained for the total energy is -174.5 eV per cell. The value obtained for the total magnetization is 0.00 μB per formula unit. The volume is 20.057 Å³ per atom. For the formation energy, the calculation gives -0.29 eV/atom.

=====

Below is a geometry-optimized TmV4Ru5 structure, with properties calculated at the PBE-GGA level.

Cell and atoms, written as CIF:
```
data_TmV4Ru5
_symmetry_space_group_name_H-M 'P 1'
_symmetry_Int_Tables_number 1
_cell_length_a 3.011
_cell_length_b 3.011
_cell_length_c 16.278
_cell_angle_alpha 90.00
_cell_angle_beta 90.00
_cell_angle_gamma 90.00
loop_
_symmetry_equiv_pos_as_xyz
'x,y,z'
loop_
_atom_site_label
_atom_site_fract_x
_atom_site_fract_y
_atom_site_fract_z
Tm1 0.000 0.000 0.000
V1 0.000 0.000 0.215
V2 0.000 0.000 0.405
V3 0.000 0.000 0.595
V4 0.000 0.000 0.785
Ru1 0.500 0.500 0.133
Ru2 0.500 0.500 0.316
Ru3 0.500 0.500 0.500
Ru4 0.500 0.500 0.684
Ru5 0.500 0.500 0.867
```

Output
The value obtained for the total energy is -90.2 eV per cell. The value obtained for the total magnetization is 0.00 μB per formula unit. The volume is 14.755 Å³ per atom. For the formation energy, the calculation gives -0.29 eV/atom.